[1]
The following is a DFT calculation (GGA-PBE) of a relaxed NbCrPd2 crystal.

The space group is I-42d (No. 122) and the conventional cell measures 7.071, 7.071 and 5.204 Å, with angles of 90.00, 90.00 and 90.00 degrees. Symmetry generates all atoms from Nb at (0.000, 0.000, 0.000), Cr at (0.000, 0.000, 0.500) and Pd at (0.222, 0.250, 0.625).

The calculation puts the total energy at -113.91 eV for the cell shown. The formation energy from the elements comes out at 0.400 eV/atom. The polymorph energy (0 for the lowest one) is 388 meV/atom.

=====

[2]
The following is a DFT calculation (GGA-PBE) of a relaxed UCoSe2 crystal.

The space group is R-3m (No. 166, hexagonal axes) and the conventional cell measures 3.3302, 3.3302 and 25.8898 Å, with angles of 90.00, 90.00 and 120.00 degrees. Symmetry generates all atoms from U at (0.0000, 0.0000, 0.0000), Co at (0.0000, 0.0000, 0.5000) and Se at (0.0000, 0.0000, 0.1135).

The calculation puts the formation energy (no corrections) at -0.016 eV/atom. The calculation puts the total energy at -76.28 eV for the cell shown.

=====

[3]
The following is a DFT calculation (GGA-PBE) of a relaxed SnIr3Br crystal.

The space group is Pm-3m (No. 221) and the conventional cell measures 4.698, 4.698 and 4.698 Å, with angles of 90.00, 90.00 and 90.00 degrees. Symmetry generates all atoms from Sn at (0.000, 0.000, 0.000), Ir at (0.000, 0.500, 0.500) and Br at (0.500, 0.500, 0.500).

The calculation puts the formation energy (no corrections) at 1.644 eV/atom. The calculation puts the total energy at -24.04 eV for the cell shown. The polymorph energy (0 for the lowest one) is 0 meV/atom.

=====

- Look up the total energy of the third one.
  -24.04 eV for the cell shown